DFT (PBEsol) results for crystalline BaLaHg2 at its relaxed geometry.

DFT formation energy: -233 meV per atom
DOS at the Fermi energy: 3.75 states/eV/cell
total magnetic moment: 0.00 μB/atom

a b c (Å): 5.392 5.392 5.392
angles (deg): 60.00 60.00 60.00
Positions (direct):
Ba: 0.000 0.000 0.000
La: 0.250 0.250 0.250
Hg: 0.500 0.500 0.500
Hg: 0.750 0.750 0.750